Record 1
Crystalline NbAlFe at its relaxed geometry. Source: OQMD via LeMat-Bulk, functional GGA-PBE.

Unit cell a=4.1918 b=4.1918 c=4.1918 alpha=60.00 beta=60.00 gamma=60.00
Fractional positions:
Nb  0.0000  0.0000  0.0000
Al  0.7500  0.7500  0.7500
Fe  0.2500  0.2500  0.2500

Computed properties:
- space-group type = F-43m (216)
- DFT total energy (eV/atom) = -6.7294
- volume (Å³ per cell) = 52.1

***

Record 2
Crystalline NaPmPu at its relaxed geometry. Source: OQMD via LeMat-Bulk, functional GGA-PBE.

Unit cell a=5.3432 b=5.3432 c=5.3432 alpha=60.00 beta=60.00 gamma=60.00
Fractional positions:
Na  0.0000  0.0000  0.0000
Pm  0.7500  0.7500  0.7500
Pu  0.2500  0.2500  0.2500

Computed properties:
- energy above the lowest structure with this stoichiometry (meV per atom) = 0
- space-group type = F-43m (216)
- volume (Å³ per cell) = 107.9

***

Record 3
Crystalline TaCuSiNi at its relaxed geometry. Source: OQMD via LeMat-Bulk, functional GGA-PBE.

Unit cell a=4.2104 b=4.2104 c=4.2104 alpha=60.00 beta=60.00 gamma=60.00
Fractional positions:
Ta  0.0000  0.0000  0.0000
Cu  0.7500  0.7500  0.7500
Si  0.5000  0.5000  0.5000
Ni  0.2500  0.2500  0.2500

Computed properties:
- energy above the lowest structure with this stoichiometry (meV per atom) = 62
- space-group type = F-43m (216)
- volume (Å³ per cell) = 52.8

***

Record 4
Crystalline YErNO at its relaxed geometry. Source: OQMD via LeMat-Bulk, functional GGA-PBE.

Unit cell a=3.9443 b=6.8668 c=4.8315 alpha=90.00 beta=90.00 gamma=90.00
Fractional positions:
Y  0.0000  0.1649  0.0000
Y  0.0000  0.8351  0.5000
Er  0.5000  0.3331  0.4997
Er  0.5000  0.6669  0.9997
N  0.0000  0.1691  0.5009
N  0.0000  0.8309  0.0009
O  0.5000  0.3348  0.9982
O  0.5000  0.6652  0.4982

Computed properties:
- energy above the lowest structure with this stoichiometry (meV per atom) = 106
- space-group type = Pmc2_1 (26)
- volume (Å³ per cell) = 130.9

***

Record 5
Crystalline LiDy4In5 at its relaxed geometry. Source: OQMD via LeMat-Bulk, functional GGA-PBE.

Unit cell a=3.5156 b=3.5156 c=20.2850 alpha=90.00 beta=90.00 gamma=90.00
Fractional positions:
Li  0.0000  0.0000  0.0000
Dy  0.0000  0.0000  0.1827
Dy  0.0000  0.0000  0.3940
Dy  0.0000  0.0000  0.6060
Dy  0.0000  0.0000  0.8173
In  0.5000  0.5000  0.0777
In  0.5000  0.5000  0.2880
In  0.5000  0.5000  0.5000
In  0.5000  0.5000  0.7120
In  0.5000  0.5000  0.9223

Computed properties:
- space-group type = P4/mmm (123)
- DFT total energy (eV/atom) = -3.8372
- volume (Å³ per cell) = 250.7

***

Record 6
Crystalline DyEr2Mg3Al2In at its relaxed geometry. Source: OQMD via LeMat-Bulk, functional GGA-PBE.

Unit cell a=4.5853 b=7.3647 c=7.3647 alpha=120.17 beta=90.00 gamma=90.00
Fractional positions:
Dy  0.0000  0.0000  0.0000
Er  0.0000  0.1237  0.5619
Er  0.0000  0.5619  0.1237
Mg  0.5000  0.3153  0.3153
Mg  0.5000  0.5615  0.8076
Mg  0.5000  0.8076  0.5615
Al  0.5000  0.2291  0.8944
Al  0.5000  0.8944  0.2291
In  0.0000  0.5599  0.5599

Computed properties:
- space-group type = Amm2 (38)
- DFT total energy (eV/atom) = -3.5088
- volume (Å³ per cell) = 215.0

***

Record 7
Crystalline RbAgO3 at its relaxed geometry. Source: OQMD via LeMat-Bulk, functional GGA-PBE.

Unit cell a=4.1278 b=4.1278 c=4.1974 alpha=90.00 beta=90.00 gamma=90.00
Fractional positions:
Rb  0.0000  0.0000  0.0000
Ag  0.5000  0.5000  0.4570
O  0.0000  0.5000  0.5241
O  0.5000  0.0000  0.5241
O  0.5000  0.5000  0.9704

Computed properties:
- space-group type = P4mm (99)
- DFT total energy (eV/atom) = -3.7220
- volume (Å³ per cell) = 71.5

***

Record 8
Crystalline La2ZnBiAu4 at its relaxed geometry. Source: OQMD via LeMat-Bulk, functional GGA-PBE.

Unit cell a=4.8308 b=4.8308 c=9.6713 alpha=90.00 beta=90.00 gamma=120.00
Fractional positions:
La  0.3333  0.6667  0.2515
La  0.6667  0.3333  0.7485
Zn  0.0000  0.0000  0.5000
Bi  0.0000  0.0000  0.0000
Au  0.3333  0.6667  0.5715
Au  0.3333  0.6667  0.8760
Au  0.6667  0.3333  0.1240
Au  0.6667  0.3333  0.4285

Computed properties:
- space-group type = P-3m1 (164)
- DFT total energy (eV/atom) = -4.2183
- volume (Å³ per cell) = 195.5

***

Record 9
Crystalline Ba2CdAu at its relaxed geometry. Source: OQMD via LeMat-Bulk, functional GGA-PBE.

Unit cell a=5.5747 b=5.5747 c=5.5747 alpha=60.00 beta=60.00 gamma=60.00
Fractional positions:
Ba  0.0000  0.0000  0.0000
Ba  0.2500  0.2500  0.2500
Cd  0.7500  0.7500  0.7500
Au  0.5000  0.5000  0.5000

Computed properties:
- space-group type = F-43m (216)
- DFT total energy (eV/atom) = -2.2834
- volume (Å³ per cell) = 122.5

***

Record 10
Crystalline Dy3HoSc2Bi2Os at its relaxed geometry. Source: OQMD via LeMat-Bulk, functional GGA-PBE.

Unit cell a=4.2260 b=8.0712 c=8.0712 alpha=119.94 beta=90.00 gamma=90.00
Fractional positions:
Dy  0.0000  0.0000  0.0000
Dy  0.0000  0.3792  0.7690
Dy  0.0000  0.7690  0.3792
Ho  0.5000  0.6105  0.6105
Sc  0.5000  0.1563  0.3813
Sc  0.5000  0.3813  0.1563
Bi  0.5000  0.0541  0.7163
Bi  0.5000  0.7163  0.0541
Os  0.0000  0.3707  0.3707

Computed properties:
- space-group type = Amm2 (38)
- DFT total energy (eV/atom) = -6.1850
- volume (Å³ per cell) = 238.6

***

Record 11
Crystalline SmCuAgS3 at its relaxed geometry. Source: OQMD via LeMat-Bulk, functional GGA-PBE.

Unit cell a=6.3675 b=6.3675 c=10.5775 alpha=90.00 beta=90.00 gamma=144.51
Fractional positions:
Sm  0.0000  0.0000  0.0000
Sm  0.0000  0.0000  0.5000
Cu  0.4774  0.5226  0.7500
Cu  0.5226  0.4774  0.2500
Ag  0.2198  0.7802  0.2500
Ag  0.7802  0.2198  0.7500
S  0.0885  0.9115  0.7500
S  0.3538  0.6462  0.5834
S  0.3538  0.6462  0.9166
S  0.6462  0.3538  0.0834
S  0.6462  0.3538  0.4166
S  0.9115  0.0885  0.2500

Computed properties:
- space-group type = Cmcm (63)
- DFT total energy (eV/atom) = -4.7230
- volume (Å³ per cell) = 249.0

***

Record 12
Crystalline Ho2Al3Ga3 at its relaxed geometry. Source: OQMD via LeMat-Bulk, functional GGA-PBE.

Unit cell a=6.2611 b=6.2611 c=4.5440 alpha=90.00 beta=90.00 gamma=120.00
Fractional positions:
Ho  0.0000  0.0000  0.0000
Ho  0.3333  0.6667  0.5000
Al  0.3722  0.1861  0.5000
Al  0.8139  0.1861  0.5000
Al  0.8139  0.6278  0.5000
Ga  0.5184  0.0368  0.0000
Ga  0.5184  0.4816  0.0000
Ga  0.9632  0.4816  0.0000

Computed properties:
- energy above the lowest structure with this stoichiometry (meV per atom) = 0
- space-group type = P-6m2 (187)
- volume (Å³ per cell) = 154.3

***

Record 13
Crystalline HIr2 at its relaxed geometry. Source: OQMD via LeMat-Bulk, functional GGA-PBE.

Unit cell a=3.6954 b=3.6954 c=3.6954 alpha=60.00 beta=60.00 gamma=60.00
Fractional positions:
H  0.0000  0.0000  0.0000
Ir  0.2500  0.2500  0.2500
Ir  0.7500  0.7500  0.7500

Computed properties:
- space-group type = Fm-3m (225)
- DFT total energy (eV/atom) = -6.1557
- volume (Å³ per cell) = 35.7

***

Record 14
Crystalline DyHo2Tl3CuNi2 at its relaxed geometry. Source: OQMD via LeMat-Bulk, functional GGA-PBE.

Unit cell a=3.7870 b=7.5683 c=7.5683 alpha=120.02 beta=90.00 gamma=90.00
Fractional positions:
Dy  0.0000  0.0000  0.0000
Ho  0.0000  0.4102  0.8206
Ho  0.0000  0.8206  0.4102
Tl  0.5000  0.1453  0.4107
Tl  0.5000  0.4107  0.1453
Tl  0.5000  0.6749  0.6749
Cu  0.0000  0.4106  0.4106
Ni  0.5000  0.0773  0.7432
Ni  0.5000  0.7432  0.0773

Computed properties:
- space-group type = Amm2 (38)
- DFT total energy (eV/atom) = -4.2995
- volume (Å³ per cell) = 187.8

***

Record 15
Crystalline LiFeSiAg at its relaxed geometry. Source: OQMD via LeMat-Bulk, functional GGA-PBE.

Unit cell a=4.1912 b=4.1912 c=4.1912 alpha=60.00 beta=60.00 gamma=60.00
Fractional positions:
Li  0.0000  0.0000  0.0000
Fe  0.7500  0.7500  0.7500
Si  0.5000  0.5000  0.5000
Ag  0.2500  0.2500  0.2500

Computed properties:
- energy above the lowest structure with this stoichiometry (meV per atom) = 0
- space-group type = F-43m (216)
- volume (Å³ per cell) = 52.1

***

Record 16
Crystalline Sr2LiH6Ir at its relaxed geometry. Source: OQMD via LeMat-Bulk, functional GGA-PBE.

Unit cell a=5.4481 b=7.6487 c=5.4489 alpha=90.00 beta=90.02 gamma=90.00
Fractional positions:
Sr  0.0000  0.2500  0.0000
Sr  0.0000  0.7500  0.0000
Sr  0.5000  0.2500  0.5002
Sr  0.5000  0.7500  0.5002
Li  0.0000  0.0000  0.5000
Li  0.5000  0.5000  0.0002
H  0.0003  0.2691  0.5001
H  0.0003  0.7309  0.5001
H  0.2289  0.5000  0.2677
H  0.2322  0.5000  0.7288
H  0.2686  0.0000  0.7706
H  0.2704  0.0000  0.2317
H  0.4996  0.2309  0.0003
H  0.4996  0.7691  0.0003
H  0.7297  0.0000  0.7690
H  0.7315  0.0000  0.2300
H  0.7677  0.5000  0.2709
H  0.7710  0.5000  0.7320
Ir  0.0000  0.5000  0.4998
Ir  0.5000  0.0000  0.0004

Computed properties:
- space-group type = Pm (6)
- DFT total energy (eV/atom) = -3.9046
- volume (Å³ per cell) = 227.1

***

Record 17
Crystalline Cs2AgO2 at its relaxed geometry. Source: OQMD via LeMat-Bulk, functional GGA-PBE.

Unit cell a=5.5863 b=5.5863 c=6.3426 alpha=105.21 beta=105.21 gamma=37.16
Fractional positions:
Cs  0.1685  0.1685  0.1983
Cs  0.8315  0.8315  0.8017
Ag  0.5000  0.5000  0.5000
O  0.1114  0.1114  0.6696
O  0.8886  0.8886  0.3304

Computed properties:
- space-group type = C2/m (12)
- DFT total energy (eV/atom) = -3.5674
- volume (Å³ per cell) = 114.9

***

Record 18
Crystalline Li4AlSiNi2 at its relaxed geometry. Source: OQMD via LeMat-Bulk, functional GGA-PBE.

Unit cell a=4.0684 b=4.0684 c=5.7614 alpha=90.00 beta=90.00 gamma=90.00
Fractional positions:
Li  0.0000  0.0000  0.0000
Li  0.0000  0.5000  0.2405
Li  0.5000  0.0000  0.7595
Li  0.5000  0.5000  0.5000
Al  0.0000  0.0000  0.5000
Si  0.5000  0.5000  0.0000
Ni  0.0000  0.5000  0.7674
Ni  0.5000  0.0000  0.2326

Computed properties:
- space-group type = P-4m2 (115)
- DFT total energy (eV/atom) = -3.7941
- volume (Å³ per cell) = 95.4

***

Record 19
Crystalline ErPuZr at its relaxed geometry. Source: OQMD via LeMat-Bulk, functional GGA-PBE.

Unit cell a=4.9449 b=4.9449 c=4.9449 alpha=60.00 beta=60.00 gamma=60.00
Fractional positions:
Er  0.0000  0.0000  0.0000
Pu  0.7500  0.7500  0.7500
Zr  0.2500  0.2500  0.2500

Computed properties:
- space-group type = F-43m (216)
- formation energy (eV/atom) = 0.977
- volume (Å³ per cell) = 85.5

***

Record 20
Crystalline Na2LiH6Pt at its relaxed geometry. Source: OQMD via LeMat-Bulk, functional GGA-PBE.

Unit cell a=5.1429 b=5.1429 c=5.1429 alpha=60.00 beta=60.00 gamma=60.00
Fractional positions:
Na  0.2500  0.2500  0.2500
Na  0.7500  0.7500  0.7500
Li  0.0000  0.0000  0.0000
H  0.2651  0.2651  0.7349
H  0.2651  0.7349  0.2651
H  0.2651  0.7349  0.7349
H  0.7349  0.2651  0.2651
H  0.7349  0.2651  0.7349
H  0.7349  0.7349  0.2651
Pt  0.5000  0.5000  0.5000

Computed properties:
- space-group type = Fm-3m (225)
- DFT total energy (eV/atom) = -3.3637
- volume (Å³ per cell) = 96.2

***

Record 21
Crystalline YBeAg at its relaxed geometry. Source: OQMD via LeMat-Bulk, functional GGA-PBE.

Unit cell a=4.5478 b=4.5478 c=4.5478 alpha=60.00 beta=60.00 gamma=60.00
Fractional positions:
Y  0.0000  0.0000  0.0000
Be  0.5000  0.5000  0.5000
Ag  0.7500  0.7500  0.7500

Computed properties:
- energy above the lowest structure with this stoichiometry (meV per atom) = 0
- space-group type = F-43m (216)
- volume (Å³ per cell) = 66.5

***

Record 22
Crystalline LiScAu2 at its relaxed geometry. Source: OQMD via LeMat-Bulk, functional GGA-PBE.

Unit cell a=4.6898 b=4.6898 c=8.1670 alpha=90.00 beta=90.00 gamma=120.00
Fractional positions:
Li  0.3333  0.6667  0.2500
Li  0.6667  0.3333  0.7500
Sc  0.0000  0.0000  0.0000
Sc  0.0000  0.0000  0.5000
Au  0.3333  0.6667  0.5807
Au  0.3333  0.6667  0.9193
Au  0.6667  0.3333  0.0807
Au  0.6667  0.3333  0.4193

Computed properties:
- energy above the lowest structure with this stoichiometry (meV per atom) = 135
- space-group type = P6_3/mmc (194)
- volume (Å³ per cell) = 155.6

***

Record 23
Crystalline Cd2Pt3O8 at its relaxed geometry. Source: OQMD via LeMat-Bulk, functional GGA-PBE.

Unit cell a=6.2041 b=6.2041 c=5.2749 alpha=106.33 beta=106.33 gamma=60.26
Fractional positions:
Cd  0.2113  0.2113  0.1431
Cd  0.7887  0.7887  0.8569
Pt  0.2474  0.7526  0.5000
Pt  0.5000  0.5000  0.0000
Pt  0.7526  0.2474  0.5000
O  0.1085  0.1085  0.4449
O  0.1675  0.6076  0.1105
O  0.3924  0.8325  0.8895
O  0.3984  0.3984  0.5946
O  0.6016  0.6016  0.4054
O  0.6076  0.1675  0.1105
O  0.8325  0.3924  0.8895
O  0.8915  0.8915  0.5551

Computed properties:
- space-group type = C2/m (12)
- DFT total energy (eV/atom) = -5.2723
- volume (Å³ per cell) = 166.7